The following is a PBE calculation of a geometry-optimized Sm5TlHg3 structure, from Alexandria.

a b c (Å): 6.8121 9.3483 9.3482
angles (deg): 120.00 90.00 90.00
With the nearest neighbours (Å) after each atom.
Sites, in units of the cell vectors:
Sm  0.0000  0.6667  0.3333  8 Sm 3.41-3.71, 6 Hg 3.41
Sm  0.5000  0.3333  0.6667  8 Sm 3.41-3.71, 6 Hg 3.41
Sm  0.0000  0.3333  0.6667  8 Sm 3.41-3.71, 6 Hg 3.41
Sm  0.5000  0.6667  0.3333  8 Sm 3.41-3.71, 6 Hg 3.41
Sm  0.7500  0.7034  0.7034  5 Hg 3.11-3.48, 2 Tl 3.25
Sm  0.7500  0.0000  0.2966  5 Hg 3.11-3.48, 2 Tl 3.25
Sm  0.7500  0.2966  0.0000  5 Hg 3.11-3.48, 2 Tl 3.25
Sm  0.2500  0.2966  0.2966  5 Hg 3.11-3.48, 2 Tl 3.25
Sm  0.2500  0.0000  0.7034  5 Hg 3.11-3.48, 2 Tl 3.25
Sm  0.2500  0.7034  0.0000  5 Hg 3.11-3.48, 2 Tl 3.25
Tl  0.0000  0.0000  0.0000  6 Sm 3.25, 2 Tl 3.41
Tl  0.5000  0.0000  0.0000  6 Sm 3.25, 2 Tl 3.41
Hg  0.7500  0.3707  0.3707  9 Sm 3.11-3.48
Hg  0.7500  0.0000  0.6293  9 Sm 3.11-3.48
Hg  0.7500  0.6293  0.0000  9 Sm 3.11-3.48
Hg  0.2500  0.6293  0.6293  9 Sm 3.11-3.48
Hg  0.2500  0.0000  0.3707  9 Sm 3.11-3.48
Hg  0.2500  0.3707  0.0000  9 Sm 3.11-3.48

Calculated values
* V: 28.64 Å³/atom
* formation energy: -36 kJ per mole of atoms



The following is a PBE calculation of a geometry-optimized LiInSn structure, from Alexandria.

a b c (Å): 5.2220 5.6559 5.9801
angles (deg): 78.35 115.73 117.70
With the nearest neighbours (Å) after each atom.
Sites, in units of the cell vectors:
Li  0.5015  0.1870  0.1524  5 In 3.08-3.36, 5 Sn 3.09-3.31
Li  0.7505  0.6831  0.6541  5 In 3.08-3.36, 5 Sn 3.10-3.32
Sn  0.0818  0.3463  0.6545  5 Li 3.09-3.32, 5 In 3.10-3.34
Sn  0.8317  0.8486  0.1521  5 In 3.10-3.34, 5 Li 3.10-3.31
In  0.1658  0.5152  0.1542  5 Li 3.08-3.36, 5 Sn 3.10-3.34
In  0.4135  0.0126  0.6522  5 Li 3.08-3.36, 5 Sn 3.10-3.34

Calculated values
* V: 23.48 Å³/atom
* formation energy: -18 kJ per mole of atoms



The following is a PBE calculation of a geometry-optimized LaTh2Cd structure, from Alexandria.

a b c (Å): 5.0226 4.9568 4.9568
angles (deg): 90.00 90.00 90.00
With the nearest neighbours (Å) after each atom.
Sites, in units of the cell vectors:
Cd  0.5000  0.0000  0.0000  4 La 3.51, 8 Th 3.53
Th  0.0000  0.0000  0.5000  4 Th 3.51, 4 Cd 3.53, 4 La 3.53
Th  0.0000  0.5000  0.0000  4 Th 3.51, 4 Cd 3.53, 4 La 3.53
La  0.5000  0.5000  0.5000  4 Cd 3.51, 8 Th 3.53

Calculated values
* excess energy over the best structure of this formula in the dataset: 0 meV per atom
* V: 30.85 Å³/atom
* formation energy: -2 kJ per mole of atoms



The following is a PBE calculation of a geometry-optimized TaSi2Os structure, from Alexandria.

a b c (Å): 3.8366 3.8366 9.2246
angles (deg): 78.00 78.00 90.00
With the nearest neighbours (Å) after each atom.
Sites, in units of the cell vectors:
Si  0.6566  0.1250  0.2500  2 Os 2.55, 2 Si 2.55, 2 Ta 2.64
Si  0.0934  0.6250  0.2500  2 Os 2.55, 2 Si 2.55, 2 Ta 2.64
Si  0.3750  0.3434  0.7500  2 Os 2.55, 2 Si 2.55, 2 Ta 2.64
Si  0.8750  0.9066  0.7500  2 Os 2.55, 2 Si 2.55, 2 Ta 2.64
Os  0.0000  0.0000  0.0000  4 Si 2.55, 4 Ta 2.71
Os  0.7500  0.2500  0.5000  4 Si 2.55, 4 Ta 2.71
Ta  0.5000  0.5000  0.0000  4 Si 2.64, 4 Os 2.71
Ta  0.2500  0.7500  0.5000  4 Si 2.64, 4 Os 2.71

Calculated values
* V: 16.22 Å³/atom
* raw formation energy: 169 meV per atom



The following is a PBE calculation of a geometry-optimized Dy5Cu2Te2 structure, from Alexandria.

a b c (Å): 7.8432 7.7384 8.6454
angles (deg): 90.00 63.02 90.00
With the nearest neighbours (Å) after each atom.
Sites, in units of the cell vectors:
Dy  0.0000  0.0000  0.0000  4 Cu 3.07, 2 Te 3.18
Dy  0.5000  0.5000  0.0000  4 Cu 3.07, 2 Te 3.18
Dy  0.4598  0.1600  0.7565  3 Cu 2.91-3.00, 3 Te 3.19-3.20
Dy  0.7837  0.8400  0.7565  3 Cu 2.91-3.00, 3 Te 3.19-3.20
Dy  0.2837  0.6600  0.7565  3 Cu 2.91-3.00, 3 Te 3.19-3.20
Dy  0.9598  0.3400  0.7565  3 Cu 2.91-3.00, 3 Te 3.19-3.20
Dy  0.5402  0.8400  0.2435  3 Cu 2.91-3.00, 3 Te 3.19-3.20
Dy  0.2163  0.1600  0.2435  3 Cu 2.91-3.00, 3 Te 3.19-3.20
Dy  0.7163  0.3400  0.2435  3 Cu 2.91-3.00, 3 Te 3.19-3.20
Dy  0.0402  0.6600  0.2435  3 Cu 2.91-3.00, 3 Te 3.19-3.20
Cu  0.1284  0.3744  0.0000  1 Cu 2.80, 8 Dy 2.91-3.07
Cu  0.8716  0.6256  0.0000  1 Cu 2.80, 8 Dy 2.91-3.07
Cu  0.3716  0.8744  0.0000  1 Cu 2.80, 8 Dy 2.91-3.07
Cu  0.6284  0.1256  0.0000  1 Cu 2.80, 8 Dy 2.91-3.07
Te  0.2062  0.0000  0.5876  7 Dy 3.18-3.20
Te  0.7062  0.5000  0.5876  7 Dy 3.18-3.20
Te  0.7938  0.0000  0.4124  7 Dy 3.18-3.20
Te  0.2938  0.5000  0.4124  7 Dy 3.18-3.20

Calculated values
* V: 25.98 Å³/atom
* raw formation energy: -680 meV per atom



The following is a PBE calculation of a geometry-optimized Ti3AsRu structure, from Alexandria.

a b c (Å): 4.5924 4.5924 4.5924
angles (deg): 90.00 90.00 90.00
With the nearest neighbours (Å) after each atom.
Sites, in units of the cell vectors:
Ru  0.5000  0.5000  0.5000  12 Ti 3.25
As  0.0000  0.0000  0.0000  6 Ti 2.30
Ti  0.0000  0.5000  0.0000  2 As 2.30
Ti  0.0000  0.0000  0.5000  2 As 2.30
Ti  0.5000  0.0000  0.0000  2 As 2.30

Calculated values
* excess energy over the best structure of this formula in the dataset: 162 meV per atom
* V: 19.37 Å³/atom
* formation energy: 42 kJ per mole of atoms



The following is a PBE calculation of a geometry-optimized Rb2TlPdCl6 structure, from Alexandria.

a b c (Å): 7.5071 7.5184 10.6553
angles (deg): 90.00 90.47 90.00
With the nearest neighbours (Å) after each atom.
Sites, in units of the cell vectors:
Rb  0.0057  0.9718  0.2485  8 Cl 3.47-3.73
Rb  0.5057  0.5282  0.7485  8 Cl 3.47-3.73
Rb  0.9943  0.0282  0.7515  8 Cl 3.47-3.73
Rb  0.4943  0.4718  0.2515  8 Cl 3.47-3.73
Tl  0.5000  0.0000  0.0000  6 Cl 2.90-2.91
Tl  0.0000  0.5000  0.5000  6 Cl 2.90-2.91
Pd  0.5000  0.0000  0.5000  6 Cl 2.46-2.47
Pd  0.0000  0.5000  0.0000  6 Cl 2.46-2.47
Cl  0.2553  0.7021  0.0232  1 Pd 2.46
Cl  0.7553  0.7979  0.5232  1 Pd 2.46
Cl  0.7447  0.2979  0.9768  1 Pd 2.46
Cl  0.2447  0.2021  0.4768  1 Pd 2.46
Cl  0.2994  0.7433  0.4769  1 Pd 2.46
Cl  0.7994  0.7567  0.9769  1 Pd 2.46
Cl  0.7006  0.2567  0.5231  1 Pd 2.46
Cl  0.2006  0.2433  0.0231  1 Pd 2.46
Cl  0.9572  0.5045  0.2292  1 Pd 2.47
Cl  0.4572  0.9955  0.7292  1 Pd 2.47
Cl  0.0428  0.4955  0.7708  1 Pd 2.47
Cl  0.5428  0.0045  0.2708  1 Pd 2.47

Calculated values
* V: 30.07 Å³/atom
* raw formation energy: -1172 meV per atom



The following is a PBE calculation of a geometry-optimized CeSm4Sn2 structure, from Alexandria.

a b c (Å): 5.2869 5.2869 9.0080
angles (deg): 107.07 107.07 90.00
With the nearest neighbours (Å) after each atom.
Sites, in units of the cell vectors:
Ce  0.0000  0.0000  0.0000  6 Sm 2.64-2.95
Sm  0.8203  0.8203  0.6406  1 Ce 2.95, 1 Sn 3.08
Sm  0.1797  0.1797  0.3594  1 Ce 2.95, 1 Sn 3.08
Sm  0.0000  0.5000  0.0000  2 Ce 2.64
Sm  0.5000  0.0000  0.0000  2 Ce 2.64
Sn  0.6324  0.6324  0.2647  5 Sm 3.08-3.42
Sn  0.3676  0.3676  0.7353  5 Sm 3.08-3.42

Calculated values
* V: 32.73 Å³/atom
* formation energy: 17 kJ per mole of atoms